Entry 1:
Here is a relaxed PrAl4 crystal from the Alexandria database. Energies are from GGA-PBEsol.

Output
Electronic total energy = -4.60 eV per atom
DFT formation energy = -1.46 eV per formula unit

```
PrAl4
1.0
-0.087 -4.191 0.564
0.193 -0.568 -4.187
5.637 2.298 2.085
Pr Al
1 4
Direct
0.000 0.000 0.000
0.389 0.389 0.779
0.750 0.250 0.500
0.611 0.611 0.221
0.250 0.750 0.500
```

Entry 2:
Here is a relaxed Li2Re2F crystal from the Alexandria database. Energies are from GGA-PBEsol.

Output
Electronic total energy = -6.60 eV per atom
Formation energy from raw total energies = -0.0975 eV/atom

```
Li2Re2F
1.0
3.401 0.000 0.000
0.000 3.401 0.000
-1.700 -1.700 7.622
Li F Re
2 1 2
Direct
0.413 0.413 0.826
0.587 0.587 0.174
0.000 0.000 0.000
0.750 0.250 0.500
0.250 0.750 0.500
```

Entry 3:
Here is a relaxed Ta4Zn3 crystal from the Alexandria database. Energies are from GGA-PBEsol.

Output
Electronic total energy = -7.94 eV per atom
DFT formation energy = -0.66 eV per formula unit

```
Ta4Zn3
1.0
4.990 0.000 0.000
-2.495 4.321 0.000
0.000 0.000 5.083
Zn Ta
3 4
Direct
0.500 0.500 0.000
0.000 0.500 0.000
0.500 0.000 0.000
0.333 0.667 0.500
0.000 0.000 0.261
0.000 0.000 0.739
0.667 0.333 0.500
```

Entry 4:
Here is a relaxed Sc2CoBr crystal from the Alexandria database. Energies are from GGA-PBEsol.

Output
Electronic total energy = -5.37 eV per atom
Formation energy from raw total energies = 0.3375 eV/atom

```
Sc2CoBr
1.0
4.613 0.000 0.000
2.307 3.995 0.000
2.307 1.332 3.767
Co Sc Br
1 2 1
Direct
0.750 0.750 0.750
0.000 0.000 0.000
0.250 0.250 0.250
0.500 0.500 0.500
```

Entry 5:
Here is a relaxed As2OsSe crystal from the Alexandria database. Energies are from GGA-PBEsol.

Output
Electronic total energy = -6.25 eV per atom
Formation energy from raw total energies = 0.3161 eV/atom

```
As2OsSe
1.0
-0.887 0.221 -2.923
-0.726 -2.524 -1.575
-8.810 0.008 1.069
As Os Se
2 1 1
Direct
0.761 0.761 0.718
0.008 0.008 0.977
0.498 0.498 0.507
0.234 0.234 0.298
```

Entry 6:
Here is a relaxed ZrTlIr2 crystal from the Alexandria database. Energies are from GGA-PBEsol.

Output
Electronic total energy = -8.00 eV per atom
DFT formation energy = -0.63 eV per formula unit

```
ZrTlIr2
1.0
-2.091 0.237 -2.899
1.645 -3.511 -1.473
-2.486 -2.751 3.782
Ir Zr Tl
2 1 1
Direct
0.205 0.000 0.411
0.045 0.500 0.091
0.763 0.500 0.525
0.474 0.000 0.947
```

Entry 7:
Here is a relaxed BeCuAu2I crystal from the Alexandria database. Energies are from GGA-PBEsol.

Output
Electronic total energy = -2.03 eV per atom
Formation energy from raw total energies = 1.5588 eV/atom

```
BeCuAu2I
1.0
-0.861 -4.158 -1.888
-0.510 -2.066 4.784
-5.120 1.094 -0.074
I Au Cu Be
1 2 1 1
Direct
0.000 0.000 0.000
0.000 0.000 0.500
0.000 0.500 0.000
0.500 0.500 0.500
0.500 0.000 0.000
```

Entry 8:
Here is a relaxed Y2TeOs crystal from the Alexandria database. Energies are from GGA-PBEsol.

Output
Electronic total energy = -7.37 eV per atom
Formation energy from raw total energies = -0.0215 eV/atom

```
Y2TeOs
1.0
-0.007 -2.294 -4.360
3.612 -3.153 -1.131
-0.933 -4.831 -0.240
Y Os Te
2 1 1
Direct
0.000 0.000 0.000
0.750 0.750 0.750
0.500 0.500 0.500
0.250 0.250 0.250
```

Entry 9:
Here is a relaxed SrNiRh3 crystal from the Alexandria database. Energies are from GGA-PBEsol.

Output
Electronic total energy = -5.89 eV per atom
DFT formation energy = 2.96 eV per formula unit

```
SrNiRh3
1.0
-1.605 -3.270 2.707
3.480 0.644 2.842
-2.432 3.081 2.279
Ni Rh Sr
1 3 1
Direct
0.000 0.000 0.000
0.000 0.000 0.500
0.500 0.000 0.000
0.000 0.500 0.000
0.500 0.500 0.500
```

Entry 10:
Here is a relaxed Ni2OsW crystal from the Alexandria database. Energies are from GGA-PBEsol.

Output
Electronic total energy = -9.45 eV per atom
DFT formation energy = 0.53 eV per formula unit

```
Ni2OsW
1.0
-2.016 -0.489 1.677
0.306 -3.530 -2.783
2.975 -1.251 3.214
Os W Ni
1 1 2
Direct
0.000 0.000 0.500
0.500 0.000 0.000
0.253 0.505 0.252
0.747 0.495 0.748
```

Entry 11:
Here is a relaxed Ag2Pb crystal from the Alexandria database. Energies are from GGA-PBEsol.

Output
Electronic total energy = -3.46 eV per atom
DFT formation energy = 0.23 eV per formula unit

```
Ag2Pb
1.0
-1.139 0.173 -2.978
4.844 -3.022 -0.316
-5.655 -4.481 1.902
Ag Pb
4 2
Direct
0.043 0.085 0.250
0.645 0.290 0.023
0.957 0.915 0.750
0.355 0.710 0.977
0.663 0.327 0.631
0.337 0.673 0.369
```

Entry 12:
Here is a relaxed CsVN2 crystal from the Alexandria database. Energies are from GGA-PBEsol.

Output
Electronic total energy = -7.79 eV per atom
Formation energy from raw total energies = -0.8866 eV/atom

```
CsVN2
1.0
-2.860 0.446 -5.095
2.964 -0.199 -5.051
-0.490 -4.672 -3.503
Cs N V
2 4 2
Direct
0.750 0.750 0.750
0.500 0.500 0.500
0.125 0.625 0.125
0.625 0.125 0.125
0.125 0.125 0.125
0.125 0.125 0.625
0.250 0.250 0.250
0.000 0.000 0.000
```